Record 1
The following is a DFT calculation (PBE-GGA) of an optimized crystal structure of ZrFeRe2.

Cell lengths 7.3889, 7.3889, 5.7790 Å; angles 50.26, 50.26, 90.00 degrees
Sites, in units of the cell vectors:
Zr 0.0000 0.0000 0.0000
Re 0.3750 0.4352 0.7500
Re 0.1852 0.6250 0.2500
Re 0.8750 0.8148 0.7500
Re 0.5648 0.1250 0.2500
Fe 0.5000 0.5000 0.0000
Fe 0.2500 0.7500 0.5000
Zr 0.7500 0.2500 0.5000

Results
Formation enthalpy at 0 K ... 0.502 eV/atom
Offset from the most stable computed form ... 521 meV/atom
Mass density ... 12.80 g cm⁻³

Record 2
The following is a DFT calculation (PBE-GGA) of an optimized crystal structure of ZrFeRe2.

Cell lengths 5.1244, 5.1244, 4.6091 Å; angles 75.18, 75.18, 32.10 degrees
Sites, in units of the cell vectors:
Re 0.9701 0.9701 0.0333
Fe 0.2500 0.2500 0.2500
Zr 0.7500 0.7500 0.7500
Re 0.5299 0.5299 0.4667

Results
Formation enthalpy at 0 K ... 0.081 eV/atom
Offset from the most stable computed form ... 100 meV/atom
Mass density ... 13.91 g cm⁻³

Record 3
The following is a DFT calculation (PBE-GGA) of an optimized crystal structure of Zr4FeRe.

Cell lengths 5.5529, 5.5529, 5.5529 Å; angles 60.00, 60.00, 60.00 degrees
Sites, in units of the cell vectors:
Zr 0.3742 0.8775 0.3742
Fe 0.7500 0.7500 0.7500
Zr 0.8775 0.3742 0.3742
Re 0.0000 0.0000 0.0000
Zr 0.3742 0.3742 0.3742
Zr 0.3742 0.3742 0.8775

Results
Formation enthalpy at 0 K ... 0.781 eV/atom
Mass density ... 8.32 g cm⁻³

| no. | calculated total energy (eV/atom) | M_tot (Bohr magnetons per cell) |
| --- | --- | --- |
| 1 | -9.97 | 0.00 |
| 2 | -10.40 | 0.00 |
| 3 | -8.40 | 2.07 |